Ag7Te2Se2 | Alexandria | PBE | optimized geometry; E_form (uncorrected) = -0.03 eV/atom; total magnetic moment = 0.00 μB per atom
1.0
4.6627 -4.4391 0.0000
4.6627 4.4391 0.0000
-0.3709 0.0000 6.5903
Ag Te Se
7 2 2
Cartesian
0.0000 0.0000 0.0000
3.2228 2.0972 3.2552
3.6715 1.5855 0.0227
5.0344 0.0000 2.4008
3.6715 -1.5855 0.0227
3.2228 -2.0972 3.2552
5.8939 0.0000 6.3440
5.4221 2.3726 4.9669
5.4221 -2.3726 4.9669
2.4376 0.0000 1.7601
7.6209 0.0000 2.0540



SbAs2PbBr | Alexandria | PBE | optimized geometry; E_form (uncorrected) = 0.41 eV/atom; total magnetic moment = 0.00 μB per atom
1.0
5.3384 0.0000 0.0000
0.0000 5.3384 0.0000
0.0000 0.0000 5.5118
Sb As Pb Br
1 2 1 1
Cartesian
0.0000 0.0000 0.0000
0.0000 2.6692 0.0000
2.6692 0.0000 0.0000
2.6692 2.6692 2.7559
0.0000 0.0000 2.7559



LiYMnW2 | Alexandria | PBE | optimized geometry; electronic total energy = -6.990 eV per atom; total magnetic moment = 0.00 μB per atom
1.0
4.2443 0.0000 0.0000
0.0000 4.2443 0.0000
0.0000 0.0000 4.7799
Li Y Mn W
1 1 1 2
Cartesian
0.0000 0.0000 0.0000
0.0000 0.0000 2.3900
2.1221 2.1221 2.3900
0.0000 2.1221 0.0000
2.1221 0.0000 0.0000



NaLiHgBi | Alexandria | PBE | optimized geometry; electronic total energy = -2.172 eV per atom; total magnetic moment = 0.00 μB per atom
1.0
3.5233 0.0000 0.0000
0.0000 3.5233 0.0000
0.0000 0.0000 7.9068
Na Li Hg Bi
1 1 1 1
Cartesian
0.0000 0.0000 0.0000
0.0000 0.0000 4.1432
1.7617 1.7617 5.8102
1.7617 1.7617 2.3503